Entry from Alexandria: an optimized crystal structure of Ac2ZnInO6 (PBE).

The space group is P2_1/c (No. 14) and the conventional cell measures 5.8471, 5.9099 and 10.0974 Å, with angles of 90.00, 124.99 and 90.00 degrees. The asymmetric unit holds Ac at (0.2390, 0.0426, 0.2491), Zn at (0.0000, 0.0000, 0.5000), In at (0.5000, 0.0000, 0.0000), O at (0.1594, 0.2146, 0.9524), O at (0.2376, 0.7074, 0.9534) and O at (0.3315, 0.0262, 0.7454).

The electronic total energy comes out at -6.485 eV/atom. Its total moment is 0.063 μB per atom. As for the formation energy without anion corrections: -221 kJ/mol of atoms.